DFT (PBE) results for crystalline ReH at its relaxed geometry.

Summary:
The value obtained for the relative energy among the computed polymorphs is 0 meV per atom. The calculation puts the total DFT energy (no corrections) at -15.38 eV for the cell shown. The magnetic moment is 0.0000 μB/atom.

a = 2.8715 Å, b = 2.8715 Å, c = 2.8715 Å
α = 60.00°, β = 60.00°, γ = 60.00°
Element x y z (fractional)
Re  0.0000  0.0000  0.0000
H  0.5000  0.5000  0.5000

DFT (PBE) results for crystalline ReH at its relaxed geometry.

Summary:
The value obtained for the relative energy among the computed polymorphs is 272 meV per atom. The calculation puts the total DFT energy (no corrections) at -59.35 eV for the cell shown. The magnetic moment is 0.0000 μB/atom.

a = 4.9962 Å, b = 4.9962 Å, c = 2.9300 Å
α = 90.00°, β = 90.00°, γ = 90.00°
Element x y z (fractional)
Re  0.2059  0.2059  0.0000
Re  0.2941  0.7059  0.5000
Re  0.7059  0.2941  0.5000
Re  0.7941  0.7941  0.0000
H  0.1510  0.8490  0.0000
H  0.3490  0.3490  0.5000
H  0.6510  0.6510  0.5000
H  0.8490  0.1510  0.0000

DFT (PBE) results for crystalline ReH at its relaxed geometry.

Summary:
The value obtained for the relative energy among the computed polymorphs is 114 meV per atom. The calculation puts the total DFT energy (no corrections) at -121.23 eV for the cell shown. The magnetic moment is 0.0000 μB/atom.

a = 7.9764 Å, b = 7.9764 Å, c = 2.7660 Å
α = 90.00°, β = 90.00°, γ = 90.00°
Element x y z (fractional)
Re  0.1159  0.3805  0.0000
Re  0.1703  0.6630  0.5000
Re  0.3370  0.1703  0.5000
Re  0.3805  0.8841  0.0000
Re  0.6195  0.1159  0.0000
Re  0.6630  0.8297  0.5000
Re  0.8297  0.3370  0.5000
Re  0.8841  0.6195  0.0000
H  0.1473  0.8319  0.0000
H  0.1681  0.1473  0.0000
H  0.2800  0.4563  0.5000
H  0.4563  0.7200  0.5000
H  0.5437  0.2800  0.5000
H  0.7200  0.5437  0.5000
H  0.8319  0.8527  0.0000
H  0.8527  0.1681  0.0000

DFT (PBE) results for crystalline ReH at its relaxed geometry.

Summary:
The value obtained for the relative energy among the computed polymorphs is 151 meV per atom. The calculation puts the total DFT energy (no corrections) at -60.33 eV for the cell shown. The magnetic moment is 0.0000 μB/atom.

a = 5.6942 Å, b = 5.6942 Å, c = 5.6942 Å
α = 93.61°, β = 93.61°, γ = 150.93°
Element x y z (fractional)
Re  0.1298  0.6541  0.7839
Re  0.3459  0.1298  0.4756
Re  0.6541  0.8702  0.5244
Re  0.8702  0.3459  0.2161
H  0.1077  0.2014  0.3091
H  0.2014  0.8923  0.0937
H  0.7986  0.1077  0.9063
H  0.8923  0.7986  0.6909

DFT (PBE) results for crystalline ReHRh at its relaxed geometry.

Summary:
The calculation puts the total DFT energy (no corrections) at -45.01 eV for the cell shown. The magnetic moment is 0.0000 μB/atom.

a = 8.5022 Å, b = 8.5022 Å, c = 2.7941 Å
α = 90.00°, β = 90.00°, γ = 160.44°
Element x y z (fractional)
Re  0.1980  0.8020  0.7500
Re  0.8020  0.1980  0.2500
H  0.1222  0.8778  0.2500
H  0.8778  0.1222  0.7500
Rh  0.4328  0.5672  0.7500
Rh  0.5672  0.4328  0.2500

DFT (PBE) results for crystalline Re2HRh at its relaxed geometry.

Summary:
The value obtained for the relative energy among the computed polymorphs is 0 meV per atom. The calculation puts the total DFT energy (no corrections) at -68.37 eV for the cell shown. The magnetic moment is 0.0000 μB/atom.

a = 5.0350 Å, b = 5.0350 Å, c = 5.0350 Å
α = 104.77°, β = 104.77°, γ = 119.35°
Element x y z (fractional)
Re  0.0294  0.6250  0.9044
Re  0.3750  0.2794  0.4044
Re  0.7206  0.1250  0.0956
Re  0.8750  0.9706  0.5956
H  0.0000  0.0000  0.0000
H  0.7500  0.2500  0.5000
Rh  0.2500  0.7500  0.5000
Rh  0.5000  0.5000  0.0000

DFT (PBE) results for crystalline ReHRh2 at its relaxed geometry.

Summary:
The value obtained for the relative energy among the computed polymorphs is 710 meV per atom. The calculation puts the total DFT energy (no corrections) at -27.83 eV for the cell shown. The magnetic moment is 0.3607 μB/atom.

a = 4.1841 Å, b = 4.1841 Å, c = 4.1841 Å
α = 60.00°, β = 60.00°, γ = 60.00°
Element x y z (fractional)
Re  0.0000  0.0000  0.0000
H  0.5000  0.5000  0.5000
Rh  0.2500  0.2500  0.2500
Rh  0.7500  0.7500  0.7500

DFT (PBE) results for crystalline Re3H12Rh5 at its relaxed geometry.

Summary:
The calculation puts the total DFT energy (no corrections) at -429.42 eV for the cell shown. The magnetic moment is 0.0000 μB/atom.

a = 9.3500 Å, b = 9.3500 Å, c = 9.3500 Å
α = 109.47°, β = 109.47°, γ = 109.47°
Element x y z (fractional)
Re  0.1250  0.2500  0.3750
Re  0.1250  0.3750  0.7500
Re  0.2500  0.3750  0.1250
Re  0.2500  0.8750  0.6250
Re  0.3750  0.1250  0.2500
Re  0.3750  0.7500  0.1250
Re  0.6250  0.2500  0.8750
Re  0.6250  0.8750  0.7500
Re  0.7500  0.1250  0.3750
Re  0.7500  0.6250  0.8750
Re  0.8750  0.6250  0.2500
Re  0.8750  0.7500  0.6250
H  0.0583  0.2265  0.1413
H  0.0583  0.3318  0.9170
H  0.0830  0.6413  0.4148
H  0.0830  0.9417  0.6682
H  0.0852  0.7265  0.6682
H  0.0852  0.8587  0.4170
H  0.1413  0.0583  0.2265
H  0.1413  0.5830  0.9148
H  0.1682  0.2265  0.5852
H  0.1682  0.4417  0.5830
H  0.2265  0.1413  0.0583
H  0.2265  0.5852  0.1682
H  0.2735  0.3318  0.9148
H  0.2735  0.4417  0.3587
H  0.3318  0.9148  0.2735
H  0.3318  0.9170  0.0583
H  0.3587  0.2735  0.4417
H  0.3587  0.5852  0.9170
H  0.4148  0.0830  0.6413
H  0.4148  0.8318  0.7735
H  0.4170  0.0852  0.8587
H  0.4170  0.8318  0.5583
H  0.4417  0.3587  0.2735
H  0.4417  0.5830  0.1682
H  0.5583  0.4170  0.8318
H  0.5583  0.6413  0.7265
H  0.5830  0.1682  0.4417
H  0.5830  0.9148  0.1413
H  0.5852  0.1682  0.2265
H  0.5852  0.9170  0.3587
H  0.6413  0.4148  0.0830
H  0.6413  0.7265  0.5583
H  0.6682  0.0830  0.9417
H  0.6682  0.0852  0.7265
H  0.7265  0.5583  0.6413
H  0.7265  0.6682  0.0852
H  0.7735  0.4148  0.8318
H  0.7735  0.8587  0.9417
H  0.8318  0.5583  0.4170
H  0.8318  0.7735  0.4148
H  0.8587  0.4170  0.0852
H  0.8587  0.9417  0.7735
H  0.9148  0.1413  0.5830
H  0.9148  0.2735  0.3318
H  0.9170  0.0583  0.3318
H  0.9170  0.3587  0.5852
H  0.9417  0.6682  0.0830
H  0.9417  0.7735  0.8587
Rh  0.0000  0.0000  0.0000
Rh  0.0000  0.0000  0.5000
Rh  0.0000  0.5000  0.0000
Rh  0.0000  0.5000  0.5000
Rh  0.1250  0.7500  0.8750
Rh  0.1250  0.8750  0.2500
Rh  0.2500  0.1250  0.8750
Rh  0.2500  0.6250  0.3750
Rh  0.3750  0.2500  0.6250
Rh  0.3750  0.6250  0.7500
Rh  0.5000  0.0000  0.0000
Rh  0.5000  0.0000  0.5000
Rh  0.5000  0.5000  0.0000
Rh  0.5000  0.5000  0.5000
Rh  0.6250  0.3750  0.2500
Rh  0.6250  0.7500  0.3750
Rh  0.7500  0.3750  0.6250
Rh  0.7500  0.8750  0.1250
Rh  0.8750  0.1250  0.7500
Rh  0.8750  0.2500  0.1250